Material: ThCdI6
Method: DFT, GGA-PBE
State: relaxed

The structure in POSCAR format:
```
ThCdI6
1.0
-3.381 3.757 5.734
0.927 -2.381 7.205
4.784 4.539 4.939
Cd I Th
1 6 1
direct
0.500 0.500 0.500
0.411 0.749 0.748
0.251 0.908 0.252
0.749 0.092 0.748
0.908 0.589 0.252
0.589 0.251 0.252
0.092 0.411 0.748
0.000 0.000 0.000
```

Relative energy among the computed polymorphs   0.053 eV per atom
ΔE_f (raw)   -87.9 kJ per mole of atoms
Energy   -0.229 Ry per atom